DFT (PBE-GGA) results for an optimized crystal structure of MgTiGaGe2. Values from VASP.

Quantum ESPRESSO input file:
```
&SYSTEM
  ibrav = 0, nat = 5, ntyp = 4
/
ATOMIC_SPECIES
Ga 69.72 Ga.upf
Ge 72.64 Ge.upf
Mg 24.30 Mg.upf
Ti 47.87 Ti.upf
CELL_PARAMETERS angstrom
4.8654 0.0000 0.0000
0.0000 4.8571 0.0000
0.0000 0.0000 4.8654
ATOMIC_POSITIONS crystal
Ga 0.0000 0.5000 0.0000
Ge 0.5000 0.0000 0.0000
Ge 0.0000 0.0000 0.5000
Mg 0.0000 0.0000 0.0000
Ti 0.5000 0.5000 0.5000
```

The energy relative to the elements is 0.8616 eV/atom. As for the crystal system: tetragonal. The value obtained for the final energy is -17.44 eV/cell.


DFT (PBE-GGA) results for an optimized crystal structure of MnNbCoHSe. Values from VASP.

Quantum ESPRESSO input file:
```
&SYSTEM
  ibrav = 0, nat = 5, ntyp = 5
/
ATOMIC_SPECIES
Se 78.96 Se.upf
Nb 92.91 Nb.upf
H 1.01 H.upf
Mn 54.94 Mn.upf
Co 58.93 Co.upf
CELL_PARAMETERS angstrom
-1.5890 2.5500 -2.2083
-3.1390 -1.4449 0.5845
-2.1572 2.1102 4.1138
ATOMIC_POSITIONS crystal
Se 0.4077 0.0276 0.1232
Nb 0.4528 0.2948 0.5900
H 0.1754 0.7542 0.6711
Mn 0.8842 0.6107 0.9571
Co 0.9123 0.8877 0.4048
```

As for the crystal system: monoclinic. The value obtained for the final energy is -33.59 eV/cell. The calculation puts the energy above the most stable polymorph in this dataset at 0.0461 eV per atom.


DFT (PBE-GGA) results for an optimized crystal structure of Os2RhPb. Values from VASP.

Quantum ESPRESSO input file:
```
&SYSTEM
  ibrav = 0, nat = 4, ntyp = 3
/
ATOMIC_SPECIES
Os 190.23 Os.upf
Pb 207.20 Pb.upf
Rh 102.91 Rh.upf
CELL_PARAMETERS angstrom
-4.8143 0.4517 8.4984
-6.1288 -1.8464 7.3913
-3.6535 -2.1541 8.8100
ATOMIC_POSITIONS crystal
Os 0.7395 0.7395 0.7395
Pb 0.5000 0.5000 0.5000
Rh 0.0000 0.0000 0.0000
Os 0.2605 0.2605 0.2605
```

The energy relative to the elements is 0.8468 eV/atom. As for the crystal system: trigonal. The value obtained for the final energy is -30.13 eV/cell.


DFT (PBE-GGA) results for an optimized crystal structure of CeMgIn2Pd4. Values from VASP.

Quantum ESPRESSO input file:
```
&SYSTEM
  ibrav = 0, nat = 8, ntyp = 4
/
ATOMIC_SPECIES
Mg 24.30 Mg.upf
Pd 106.42 Pd.upf
Ce 140.12 Ce.upf
In 114.82 In.upf
CELL_PARAMETERS angstrom
4.7371 0.0000 0.0000
2.3686 4.1025 0.0000
2.3686 1.3675 7.7896
ATOMIC_POSITIONS crystal
Mg 0.5000 0.5000 0.5000
Pd 0.3844 0.3844 0.8468
Ce 0.0000 0.0000 0.0000
Pd 0.8737 0.8737 0.3789
In 0.7532 0.7532 0.7403
Pd 0.1263 0.1263 0.6211
In 0.2468 0.2468 0.2597
Pd 0.6156 0.6156 0.1532
```

The energy relative to the elements is -0.6535 eV/atom. As for the crystal system: trigonal. The value obtained for the final energy is -39.00 eV/cell.


DFT (PBE-GGA) results for an optimized crystal structure of NaSbTe2Pd. Values from VASP.

Quantum ESPRESSO input file:
```
&SYSTEM
  ibrav = 0, nat = 5, ntyp = 4
/
ATOMIC_SPECIES
Pd 106.42 Pd.upf
Na 22.99 Na.upf
Sb 121.76 Sb.upf
Te 127.60 Te.upf
CELL_PARAMETERS angstrom
5.5752 0.0000 0.0000
0.0000 5.5752 0.0000
0.0000 0.0000 5.0610
ATOMIC_POSITIONS crystal
Pd 0.0000 0.0000 0.0000
Na 0.5000 0.5000 0.5000
Sb 0.0000 0.0000 0.5000
Te 0.5000 0.0000 0.0000
Te 0.0000 0.5000 0.0000
```

As for the crystal system: tetragonal. The value obtained for the final energy is -17.20 eV/cell. The calculation puts the energy above the most stable polymorph in this dataset at 0.0000 eV per atom.


DFT (PBE-GGA) results for an optimized crystal structure of ZnHg2Bi2. Values from VASP.

Quantum ESPRESSO input file:
```
&SYSTEM
  ibrav = 0, nat = 5, ntyp = 3
/
ATOMIC_SPECIES
Bi 208.98 Bi.upf
Zn 65.41 Zn.upf
Hg 200.59 Hg.upf
CELL_PARAMETERS angstrom
-0.9369 0.6926 3.8363
-2.6726 -2.9865 -0.1135
4.7136 -7.0816 4.5248
ATOMIC_POSITIONS crystal
Bi 0.4183 0.4183 0.1634
Zn 0.0000 0.0000 0.0000
Hg 0.2500 0.7500 0.5000
Hg 0.7500 0.2500 0.5000
Bi 0.5817 0.5817 0.8366
```

The energy relative to the elements is 0.2003 eV/atom. As for the crystal system: tetragonal. The value obtained for the final energy is -8.64 eV/cell. The calculation puts the energy above the most stable polymorph in this dataset at 0.0295 eV per atom.


DFT (PBE-GGA) results for an optimized crystal structure of K2Na2Hg. Values from VASP.

Quantum ESPRESSO input file:
```
&SYSTEM
  ibrav = 0, nat = 5, ntyp = 3
/
ATOMIC_SPECIES
Na 22.99 Na.upf
K 39.10 K.upf
Hg 200.59 Hg.upf
CELL_PARAMETERS angstrom
6.8040 0.0000 2.5877
-0.7562 4.7170 1.9883
1.1525 -0.1982 7.2086
ATOMIC_POSITIONS crystal
Na 0.2501 0.5000 0.0000
K 0.7083 0.2013 0.5833
Hg 0.0000 0.0000 0.0000
Na 0.7499 0.5000 0.0000
K 0.2917 0.7987 0.4167
```

The energy relative to the elements is -0.0723 eV/atom. As for the crystal system: monoclinic. The value obtained for the final energy is -5.50 eV/cell. The calculation puts the energy above the most stable polymorph in this dataset at 0.0000 eV per atom.


Number 1: volume 115 Å³/f.u.. Number 2: volume 63 Å³/f.u.. Number 3: volume 69 Å³/f.u.. Number 4: volume 151 Å³/f.u.. Number 5: volume 157 Å³/f.u.. Number 6: volume 148 Å³/f.u.. Number 7: volume 220 Å³/f.u..